*one*
# Ta2ZnC | Alexandria via LeMat-Bulk | GGA-PBE | relaxed
data_Ta2ZnC
_chemical_formula_sum 'Ta6 Zn3 C3'
_symmetry_space_group_name_H-M 'R -3 m'
_symmetry_Int_Tables_number 166
_symmetry_space_group_name_Hall '-R 3 2"'
_cell_length_a 3.1103
_cell_length_b 3.1103
_cell_length_c 20.7585
_cell_angle_alpha 90.00
_cell_angle_beta 90.00
_cell_angle_gamma 120.00
loop_
_atom_site_label
_atom_site_type_symbol
_atom_site_fract_x
_atom_site_fract_y
_atom_site_fract_z
Ta1 Ta 0.0000 0.0000 0.2260
Zn1 Zn 0.0000 0.0000 0.0000
C1 C 0.0000 0.0000 0.5000
# **Magnetization**: 0.000 μB/atom

***

*two*
# Ta2ZnC | Alexandria via LeMat-Bulk | GGA-PBE | relaxed
data_Ta2ZnC
_chemical_formula_sum 'Ta8 Zn4 C4'
_symmetry_space_group_name_H-M 'F m -3 m'
_symmetry_Int_Tables_number 225
_symmetry_space_group_name_Hall '-F 4 2 3'
_cell_length_a 6.0449
_cell_length_b 6.0449
_cell_length_c 6.0449
_cell_angle_alpha 90.00
_cell_angle_beta 90.00
_cell_angle_gamma 90.00
loop_
_atom_site_label
_atom_site_type_symbol
_atom_site_fract_x
_atom_site_fract_y
_atom_site_fract_z
Ta1 Ta 0.2500 0.2500 0.2500
Zn1 Zn 0.0000 0.0000 0.0000
C1 C 0.0000 0.0000 0.5000
# **Magnetization**: 0.000 μB/atom

***

The calculated energies rank the structures as follows, beginning with the most stable: *one*, *two*.

***

*one*
# ZrTaC2 | Alexandria via LeMat-Bulk | GGA-PBE | relaxed
data_ZrTaC2
_chemical_formula_sum 'Zr2 Ta2 C4'
_symmetry_space_group_name_H-M 'I m m 2'
_symmetry_Int_Tables_number 44
_cell_length_a 2.9654
_cell_length_b 3.0303
_cell_length_c 11.1699
_cell_angle_alpha 90.00
_cell_angle_beta 90.00
_cell_angle_gamma 90.00
loop_
_symmetry_equiv_pos_as_xyz
'x,y,z'
'-x,-y,z'
'-x,y,z'
'x,-y,z'
'x+1/2,y+1/2,z+1/2'
'-x+1/2,-y+1/2,z+1/2'
'-x+1/2,y+1/2,z+1/2'
'x+1/2,-y+1/2,z+1/2'
loop_
_atom_site_label
_atom_site_type_symbol
_atom_site_fract_x
_atom_site_fract_y
_atom_site_fract_z
Zr1 Zr 0.0000 0.0000 0.0000
Ta1 Ta 0.0000 0.5000 0.2487
C1 C 0.0000 0.0000 0.6035
C2 C 0.0000 0.5000 0.8347
# **Magnetization**: 0.000 μB/atom

***

*two*
# ZrTaC2 | Alexandria via LeMat-Bulk | GGA-PBE | relaxed
data_ZrTaC2
_chemical_formula_sum 'Zr3 Ta3 C6'
_symmetry_space_group_name_H-M 'R -3 m'
_symmetry_Int_Tables_number 166
_symmetry_space_group_name_Hall '-R 3 2"'
_cell_length_a 3.2413
_cell_length_b 3.2413
_cell_length_c 15.9869
_cell_angle_alpha 90.00
_cell_angle_beta 90.00
_cell_angle_gamma 120.00
loop_
_atom_site_label
_atom_site_type_symbol
_atom_site_fract_x
_atom_site_fract_y
_atom_site_fract_z
Zr1 Zr 0.0000 0.0000 0.0000
Ta1 Ta 0.0000 0.0000 0.5000
C1 C 0.0000 0.0000 0.2450
# **Magnetization**: 0.000 μB/atom

***

*three*
# ZrTaC2 | Alexandria via LeMat-Bulk | GGA-PBE | relaxed
data_ZrTaC2
_chemical_formula_sum 'Zr3 Ta3 C6'
_symmetry_space_group_name_H-M 'R 3 m'
_symmetry_Int_Tables_number 160
_symmetry_space_group_name_Hall 'R 3 -2"'
_cell_length_a 3.2071
_cell_length_b 3.2071
_cell_length_c 16.7824
_cell_angle_alpha 90.00
_cell_angle_beta 90.00
_cell_angle_gamma 120.00
loop_
_atom_site_label
_atom_site_type_symbol
_atom_site_fract_x
_atom_site_fract_y
_atom_site_fract_z
Zr1 Zr 0.0000 0.0000 0.0000
Ta1 Ta 0.0000 0.0000 0.8245
C1 C 0.0000 0.0000 0.4127
C2 C 0.0000 0.0000 0.5723
# **Magnetization**: 0.000 μB/atom

***

*four*
# ZrTaC2 | Alexandria via LeMat-Bulk | GGA-PBE | relaxed
data_ZrTaC2
_chemical_formula_sum 'Zr1 Ta1 C2'
_symmetry_space_group_name_H-M 'P m m m'
_symmetry_Int_Tables_number 47
_cell_length_a 3.1261
_cell_length_b 3.4500
_cell_length_c 4.7780
_cell_angle_alpha 90.00
_cell_angle_beta 90.00
_cell_angle_gamma 90.00
loop_
_symmetry_equiv_pos_as_xyz
'x,y,z'
'-x,-y,-z'
'-x,-y,z'
'x,y,-z'
'x,-y,-z'
'-x,y,z'
'-x,y,-z'
'x,-y,z'
loop_
_atom_site_label
_atom_site_type_symbol
_atom_site_fract_x
_atom_site_fract_y
_atom_site_fract_z
Zr1 Zr 0.0000 0.0000 0.0000
Ta1 Ta 0.0000 0.5000 0.5000
C1 C 0.5000 0.5000 0.1576
# **Magnetization**: 0.000 μB/atom

***

The calculated energies rank the structures as follows, beginning with the most stable: *two*, *three*, *four*, *one*.

***

*one*
# ZrTaC2 | Alexandria via LeMat-Bulk | GGA-PBE | relaxed
data_ZrTaC2
_chemical_formula_sum 'Zr1 Ta1 C2'
_symmetry_space_group_name_H-M 'P 4/m m m'
_symmetry_Int_Tables_number 123
_symmetry_space_group_name_Hall '-P 4 2'
_cell_length_a 3.2443
_cell_length_b 3.2443
_cell_length_c 4.6023
_cell_angle_alpha 90.00
_cell_angle_beta 90.00
_cell_angle_gamma 90.00
loop_
_atom_site_label
_atom_site_type_symbol
_atom_site_fract_x
_atom_site_fract_y
_atom_site_fract_z
Zr1 Zr 0.0000 0.0000 0.0000
Ta1 Ta 0.5000 0.5000 0.5000
C1 C 0.0000 0.0000 0.5000
C2 C 0.5000 0.5000 0.0000
# **Magnetization**: 0.000 μB/atom

***

*two*
# ZrTaC2 | Alexandria via LeMat-Bulk | GGA-PBE | relaxed
data_ZrTaC2
_chemical_formula_sum 'Zr4 Ta4 C8'
_symmetry_space_group_name_H-M 'I -4 2 d'
_symmetry_Int_Tables_number 122
_symmetry_space_group_name_Hall 'I -4 2bw'
_cell_length_a 4.9857
_cell_length_b 4.9857
_cell_length_c 9.8790
_cell_angle_alpha 90.00
_cell_angle_beta 90.00
_cell_angle_gamma 90.00
loop_
_atom_site_label
_atom_site_type_symbol
_atom_site_fract_x
_atom_site_fract_y
_atom_site_fract_z
Zr1 Zr 0.0000 0.0000 0.0000
Ta1 Ta 0.0000 0.0000 0.5000
C1 C 0.2266 0.2500 0.6250
# **Magnetization**: 0.000 μB/atom

***

*three*
# ZrTaC2 | Alexandria via LeMat-Bulk | GGA-PBE | relaxed
data_ZrTaC2
_chemical_formula_sum 'Zr4 Ta4 C8'
_symmetry_space_group_name_H-M 'F m -3 m'
_symmetry_Int_Tables_number 225
_symmetry_space_group_name_Hall '-F 4 2 3'
_cell_length_a 5.7298
_cell_length_b 5.7298
_cell_length_c 5.7298
_cell_angle_alpha 90.00
_cell_angle_beta 90.00
_cell_angle_gamma 90.00
loop_
_atom_site_label
_atom_site_type_symbol
_atom_site_fract_x
_atom_site_fract_y
_atom_site_fract_z
Zr1 Zr 0.0000 0.0000 0.0000
Ta1 Ta 0.0000 0.0000 0.5000
C1 C 0.2500 0.2500 0.2500
# **Magnetization**: 0.000 μB/atom

***

The calculated energies rank the structures as follows, beginning with the most stable: *one*, *two*, *three*.

***

*one*
# ZrTaC2 | Alexandria via LeMat-Bulk | GGA-PBE | relaxed
data_ZrTaC2
_chemical_formula_sum 'Zr1 Ta1 C2'
_symmetry_space_group_name_H-M 'P m m m'
_symmetry_Int_Tables_number 47
_cell_length_a 3.0976
_cell_length_b 3.3137
_cell_length_c 5.0100
_cell_angle_alpha 90.00
_cell_angle_beta 90.00
_cell_angle_gamma 90.00
loop_
_symmetry_equiv_pos_as_xyz
'x,y,z'
'-x,-y,-z'
'-x,-y,z'
'x,y,-z'
'x,-y,-z'
'-x,y,z'
'-x,y,-z'
'x,-y,z'
loop_
_atom_site_label
_atom_site_type_symbol
_atom_site_fract_x
_atom_site_fract_y
_atom_site_fract_z
Zr1 Zr 0.0000 0.0000 0.0000
Ta1 Ta 0.0000 0.5000 0.5000
C1 C 0.5000 0.0000 0.5000
C2 C 0.5000 0.5000 0.0000
# **Magnetization**: 0.000 μB/atom

***

*two*
# ZrTaC2 | Alexandria via LeMat-Bulk | GGA-PBE | relaxed
data_ZrTaC2
_chemical_formula_sum 'Zr3 Ta3 C6'
_symmetry_space_group_name_H-M 'R 3 m'
_symmetry_Int_Tables_number 160
_symmetry_space_group_name_Hall 'R 3 -2"'
_cell_length_a 3.1982
_cell_length_b 3.1982
_cell_length_c 16.8125
_cell_angle_alpha 90.00
_cell_angle_beta 90.00
_cell_angle_gamma 120.00
loop_
_atom_site_label
_atom_site_type_symbol
_atom_site_fract_x
_atom_site_fract_y
_atom_site_fract_z
Zr1 Zr 0.0000 0.0000 0.0000
Ta1 Ta 0.0000 0.0000 0.1750
C1 C 0.0000 0.0000 0.5804
C2 C 0.0000 0.0000 0.7605
# **Magnetization**: 0.000 μB/atom

***

*three*
# ZrTaC2 | Alexandria via LeMat-Bulk | GGA-PBE | relaxed
data_ZrTaC2
_chemical_formula_sum 'Zr4 Ta4 C8'
_symmetry_space_group_name_H-M 'F -4 3 m'
_symmetry_Int_Tables_number 216
_symmetry_space_group_name_Hall 'F -4 2 3'
_cell_length_a 5.9495
_cell_length_b 5.9495
_cell_length_c 5.9495
_cell_angle_alpha 90.00
_cell_angle_beta 90.00
_cell_angle_gamma 90.00
loop_
_atom_site_label
_atom_site_type_symbol
_atom_site_fract_x
_atom_site_fract_y
_atom_site_fract_z
Zr1 Zr 0.0000 0.0000 0.0000
Ta1 Ta 0.2500 0.2500 0.7500
C1 C 0.0000 0.0000 0.5000
C2 C 0.2500 0.2500 0.2500
# **Magnetization**: 0.000 μB/atom

***

*four*
# ZrTaC2 | Alexandria via LeMat-Bulk | GGA-PBE | relaxed
data_ZrTaC2
_chemical_formula_sum 'Zr2 Ta2 C4'
_symmetry_space_group_name_H-M 'C 1 2/m 1'
_symmetry_Int_Tables_number 12
_cell_length_a 6.2935
_cell_length_b 6.2823
_cell_length_c 3.1848
_cell_angle_alpha 90.00
_cell_angle_beta 119.64
_cell_angle_gamma 90.00
loop_
_symmetry_equiv_pos_as_xyz
'x,y,z'
'-x,-y,-z'
'-x,y,-z'
'x,-y,z'
'x+1/2,y+1/2,z'
'-x+1/2,-y+1/2,-z'
'-x+1/2,y+1/2,-z'
'x+1/2,-y+1/2,z'
loop_
_atom_site_label
_atom_site_type_symbol
_atom_site_fract_x
_atom_site_fract_y
_atom_site_fract_z
Zr1 Zr 0.0000 0.0000 0.0000
Ta1 Ta 0.0000 0.5000 0.0000
C1 C 0.0000 0.2638 0.5000
# **Magnetization**: 0.000 μB/atom

***

The calculated energies rank the structures as follows, beginning with the most stable: *two*, *four*, *one*, *three*.

***

*one*
# Zr3TaC | Alexandria via LeMat-Bulk | GGA-PBE | relaxed
data_Zr3TaC
_chemical_formula_sum 'Zr3 Ta1 C1'
_symmetry_space_group_name_H-M 'P m -3 m'
_symmetry_Int_Tables_number 221
_symmetry_space_group_name_Hall '-P 4 2 3'
_cell_length_a 5.0808
_cell_length_b 5.0808
_cell_length_c 5.0808
_cell_angle_alpha 90.00
_cell_angle_beta 90.00
_cell_angle_gamma 90.00
loop_
_atom_site_label
_atom_site_type_symbol
_atom_site_fract_x
_atom_site_fract_y
_atom_site_fract_z
Zr1 Zr 0.0000 0.0000 0.5000
Ta1 Ta 0.0000 0.0000 0.0000
C1 C 0.5000 0.5000 0.5000
# **Magnetization**: 0.000 μB/atom

***

*two*
# Zr3TaC | Alexandria via LeMat-Bulk | GGA-PBE | relaxed
data_Zr3TaC
_chemical_formula_sum 'Zr3 Ta1 C1'
_symmetry_space_group_name_H-M 'P m -3 m'
_symmetry_Int_Tables_number 221
_symmetry_space_group_name_Hall '-P 4 2 3'
_cell_length_a 4.5661
_cell_length_b 4.5661
_cell_length_c 4.5661
_cell_angle_alpha 90.00
_cell_angle_beta 90.00
_cell_angle_gamma 90.00
loop_
_atom_site_label
_atom_site_type_symbol
_atom_site_fract_x
_atom_site_fract_y
_atom_site_fract_z
Zr1 Zr 0.0000 0.0000 0.5000
Ta1 Ta 0.5000 0.5000 0.5000
C1 C 0.0000 0.0000 0.0000
# **Magnetization**: 0.000 μB/atom

***

The calculated energies rank the structures as follows, beginning with the most stable: *two*, *one*.

***

*one*
# ZrTaC | Alexandria via LeMat-Bulk | GGA-PBE | relaxed
data_ZrTaC
_chemical_formula_sum 'Zr4 Ta4 C4'
_symmetry_space_group_name_H-M 'F -4 3 m'
_symmetry_Int_Tables_number 216
_symmetry_space_group_name_Hall 'F -4 2 3'
_cell_length_a 5.6580
_cell_length_b 5.6580
_cell_length_c 5.6580
_cell_angle_alpha 90.00
_cell_angle_beta 90.00
_cell_angle_gamma 90.00
loop_
_atom_site_label
_atom_site_type_symbol
_atom_site_fract_x
_atom_site_fract_y
_atom_site_fract_z
Zr1 Zr 0.0000 0.0000 0.0000
Ta1 Ta 0.0000 0.0000 0.5000
C1 C 0.2500 0.2500 0.2500
# **Magnetization**: 0.000 μB/atom

***

*two*
# ZrTaC | Alexandria via LeMat-Bulk | GGA-PBE | relaxed
data_ZrTaC
_chemical_formula_sum 'Zr4 Ta4 C4'
_symmetry_space_group_name_H-M 'C 1 2/m 1'
_symmetry_Int_Tables_number 12
_cell_length_a 10.4394
_cell_length_b 3.2560
_cell_length_c 5.5979
_cell_angle_alpha 90.00
_cell_angle_beta 100.79
_cell_angle_gamma 90.00
loop_
_symmetry_equiv_pos_as_xyz
'x,y,z'
'-x,-y,-z'
'-x,y,-z'
'x,-y,z'
'x+1/2,y+1/2,z'
'-x+1/2,-y+1/2,-z'
'-x+1/2,y+1/2,-z'
'x+1/2,-y+1/2,z'
loop_
_atom_site_label
_atom_site_type_symbol
_atom_site_fract_x
_atom_site_fract_y
_atom_site_fract_z
Zr1 Zr 0.1250 0.0000 0.3760
Ta1 Ta 0.1140 0.5000 0.8730
C1 C 0.0000 0.0000 0.0000
C2 C 0.0000 0.5000 0.5000
# **Magnetization**: 0.000 μB/atom

***

*three*
# ZrTaC | Alexandria via LeMat-Bulk | GGA-PBE | relaxed
data_ZrTaC
_chemical_formula_sum 'Zr2 Ta2 C2'
_symmetry_space_group_name_H-M 'P m m n'
_symmetry_Int_Tables_number 59
_cell_length_a 3.2709
_cell_length_b 4.3681
_cell_length_c 6.6073
_cell_angle_alpha 90.00
_cell_angle_beta 90.00
_cell_angle_gamma 90.00
loop_
_symmetry_equiv_pos_as_xyz
'x,y,z'
'-x,-y,-z'
'-x+1/2,-y+1/2,z'
'x+1/2,y+1/2,-z'
'x+1/2,-y,-z'
'-x+1/2,y,z'
'-x,y+1/2,-z'
'x,-y+1/2,z'
loop_
_atom_site_label
_atom_site_type_symbol
_atom_site_fract_x
_atom_site_fract_y
_atom_site_fract_z
Zr1 Zr 0.2500 0.2500 0.1338
Ta1 Ta 0.2500 0.2500 0.6028
C1 C 0.2500 0.7500 0.6213
# **Magnetization**: 0.000 μB/atom

***

The calculated energies rank the structures as follows, beginning with the most stable: *three*, *two*, *one*.